No. 1
Material: CuPH2Ru
Method: DFT, PBE
State: optimized geometry

Its space group is P4/mmm. Its final energy is -20.73 eV/cell.

Cell: 3.4664 4.7680 3.4664 Å, 90.00 90.00 90.00°
Each line ends with the local moment (μB).
Sites, in units of the cell vectors:
Ru: 0.5000 0.5000 0.5000  1.64
H: 0.0000 0.0000 0.5000  0.03
H: 0.5000 0.0000 0.0000  0.01
Cu: 0.0000 0.5000 0.0000  0.10
P: 0.0000 0.0000 0.0000  0.01



No. 2
Material: CuPHS
Method: DFT, PBE
State: optimized geometry

The polymorph energy (0 for the lowest one) comes out at 112 meV/atom. Its space group is P1.

Cell: 3.4045 4.0700 5.4078 Å, 73.86 91.14 65.14°
Sites, in units of the cell vectors:
Cu: 0.4941 0.6615 0.6689
P: 0.2156 0.2275 0.7555
H: 0.1545 0.4075 0.2003
S: 0.3231 0.0560 0.1701



No. 3
Material: CuPHS
Method: DFT, PBE
State: optimized geometry

The polymorph energy (0 for the lowest one) comes out at 51 meV/atom. Its space group is Cm.

Cell: 3.6039 4.4709 4.8299 Å, 77.92 90.04 66.32°
Sites, in units of the cell vectors:
Cu: 0.7632 0.9716 0.1280
P: 0.3022 0.8930 0.8510
H: 0.4812 0.5331 0.8888
S: 0.2180 0.0623 0.4064



No. 4
Material: CuPHS
Method: DFT, PBE
State: optimized geometry

The polymorph energy (0 for the lowest one) comes out at 131 meV/atom. Its space group is P1.

Cell: 3.5952 4.3262 5.2756 Å, 90.44 109.90 114.45°
Sites, in units of the cell vectors:
Cu: 0.6768 0.6153 0.3361
P: 0.2023 0.4455 0.5563
H: 0.9464 0.0971 0.3887
S: 0.3038 0.2843 0.9242